[1]
Crystalline La3Pr3In at its relaxed geometry. Source: Alexandria via LeMat-Bulk, functional GGA-PBE.

The space group is R-3 (No. 148, hexagonal axes) and the conventional cell measures 8.7282, 8.7282 and 22.4042 Å, with angles of 90.00, 90.00 and 120.00 degrees. Symmetry generates all atoms from La at (0.0331, 0.5945, 0.3851), Pr at (0.0127, 0.7585, 0.5558) and In at (0.0000, 0.0000, 0.1631).

Its energy above the lowest structure with this stoichiometry is 0.1462 eV per atom. For the formation energy from the elements, the calculation gives 21.8 meV per atom.

***

[2]
Crystalline TlAs2Ir at its relaxed geometry. Source: Alexandria via LeMat-Bulk, functional GGA-PBE.

The space group is Immm (No. 71) and the conventional cell measures 2.9788, 5.7602 and 10.2586 Å, with angles of 90.00, 90.00 and 90.00 degrees. Symmetry generates all atoms from Tl at (0.0000, 0.0000, 0.0000), As at (0.0000, 0.5000, 0.1950) and Ir at (0.0000, 0.0000, 0.5000).

Its energy above the lowest structure with this stoichiometry is 0.2726 eV per atom. For the formation energy from the elements, the calculation gives 198.4 meV per atom.

***

[3]
Crystalline HfV3Ga at its relaxed geometry. Source: Alexandria via LeMat-Bulk, functional GGA-PBE.

The space group is Pm-3m (No. 221) and the conventional cell measures 4.5154, 4.5154 and 4.5154 Å, with angles of 90.00, 90.00 and 90.00 degrees. Symmetry generates all atoms from Hf at (0.0000, 0.0000, 0.0000), V at (0.0000, 0.5000, 0.5000) and Ga at (0.5000, 0.5000, 0.5000).

Its energy above the lowest structure with this stoichiometry is 0.0000 eV per atom. For the formation energy from the elements, the calculation gives 907.0 meV per atom.

***

[4]
Crystalline LaPmHgI at its relaxed geometry. Source: Alexandria via LeMat-Bulk, functional GGA-PBE.

The space group is F-43m (No. 216) and the conventional cell measures 7.8258, 7.8258 and 7.8258 Å, with angles of 90.00, 90.00 and 90.00 degrees. Symmetry generates all atoms from La at (0.0000, 0.0000, 0.0000), Pm at (0.0000, 0.0000, 0.5000), Hg at (0.2500, 0.2500, 0.7500) and I at (0.2500, 0.2500, 0.2500).

The calculation puts the uncorrected formation energy at -2.22 eV per formula unit.

***

[5]
Crystalline NpTlHgBr6 at its relaxed geometry. Source: Alexandria via LeMat-Bulk, functional GGA-PBE.

The space group is P312 (No. 149) and the conventional cell measures 8.0762, 8.0762 and 7.1569 Å, with angles of 90.00, 90.00 and 120.00 degrees. Symmetry generates all atoms from Np at (0.0000, 0.0000, 0.0000), Tl at (0.6667, 0.3333, 0.0000), Hg at (0.3333, 0.6667, 0.5000) and Br at (0.2764, 0.0064, 0.2191).

The calculation puts the uncorrected formation energy at -8.28 eV per formula unit.

***

[6]
Crystalline PmSmZr2 at its relaxed geometry. Source: Alexandria via LeMat-Bulk, functional GGA-PBE.

The space group is R-3m (No. 166, hexagonal axes) and the conventional cell measures 3.3844, 3.3844 and 33.1959 Å, with angles of 90.00, 90.00 and 120.00 degrees. Symmetry generates all atoms from Pm at (0.0000, 0.0000, 0.0000), Sm at (0.0000, 0.0000, 0.5000) and Zr at (0.0000, 0.0000, 0.2498).

Its energy above the lowest structure with this stoichiometry is 0.0024 eV per atom. For the formation energy from the elements, the calculation gives 185.1 meV per atom.

***

[7]
Crystalline TbPr8Tm3 at its relaxed geometry. Source: Alexandria via LeMat-Bulk, functional GGA-PBE.

The space group is P1 (No. 1) and the conventional cell measures 6.1766, 8.6496 and 9.0015 Å, with angles of 66.11, 76.44 and 72.19 degrees. Symmetry generates all atoms from Tb at (0.0000, 0.0000, 0.0000), Pr at (0.0858, 0.7338, 0.4090), Pr at (0.1935, 0.2163, 0.5955), Pr at (0.3141, 0.7414, 0.7520), Pr at (0.3399, 0.4524, 0.1741), Pr at (0.6155, 0.7575, 0.0762), Pr at (0.6361, 0.4698, 0.4982), Pr at (0.7575, 0.9965, 0.6522), Pr at (0.8648, 0.4774, 0.8417), Tm at (0.4326, 0.2243, 0.9186), Tm at (0.5161, 0.9888, 0.3311) and Tm at (0.9484, 0.2139, 0.2509).

For the formation energy from the elements, the calculation gives 64.0 meV per atom.

***

[8]
Crystalline Gd2ErIn at its relaxed geometry. Source: Alexandria via LeMat-Bulk, functional GGA-PBE.

The space group is Fm-3m (No. 225) and the conventional cell measures 7.7196, 7.7196 and 7.7196 Å, with angles of 90.00, 90.00 and 90.00 degrees. Symmetry generates all atoms from Gd at (0.2500, 0.2500, 0.2500), Er at (0.0000, 0.0000, 0.0000) and In at (0.0000, 0.0000, 0.5000).

Its energy above the lowest structure with this stoichiometry is 0.1183 eV per atom. For the formation energy from the elements, the calculation gives -172.0 meV per atom.